--- w ---
First-principles (PBE-GGA) data for a relaxed Co2CuCl crystal, as listed in the Alexandria database.

Properties
D(E_F) = 1.090 states/eV/atom
magnetization = 0.94 μB per atom

Cell and atoms, written as CIF:
```
data_Co2CuCl
_symmetry_space_group_name_H-M 'P 4/m m m'
_symmetry_Int_Tables_number 123
_symmetry_space_group_name_Hall '-P 4 2'
_cell_length_a 3.017
_cell_length_b 3.017
_cell_length_c 5.987
_cell_angle_alpha 90.00
_cell_angle_beta 90.00
_cell_angle_gamma 90.00
loop_
_atom_site_label
_atom_site_type_symbol
_atom_site_fract_x
_atom_site_fract_y
_atom_site_fract_z
Co1 Co 0.000 0.000 0.205
Cu1 Cu 0.500 0.500 0.000
Cl1 Cl 0.500 0.500 0.500
```

***

--- x ---
First-principles (PBE-GGA) data for a relaxed Co2CuCl crystal, as listed in the Alexandria database.

Properties
D(E_F) = 1.024 states/eV/atom
magnetization = 0.90 μB per atom

Cell and atoms, written as CIF:
```
data_Co2CuCl
_symmetry_space_group_name_H-M 'I -4 m 2'
_symmetry_Int_Tables_number 119
_symmetry_space_group_name_Hall 'I -4 -2'
_cell_length_a 3.715
_cell_length_b 3.715
_cell_length_c 7.610
_cell_angle_alpha 90.00
_cell_angle_beta 90.00
_cell_angle_gamma 90.00
loop_
_atom_site_label
_atom_site_type_symbol
_atom_site_fract_x
_atom_site_fract_y
_atom_site_fract_z
Co1 Co 0.000 0.000 0.000
Co2 Co 0.000 0.500 0.250
Cu1 Cu 0.000 0.500 0.750
Cl1 Cl 0.000 0.000 0.500
```

***

Each structure's energy above the most stable one, in kJ/mol of atoms: w 0.0; x 25.5.

***

--- w ---
First-principles (PBE-GGA) data for a relaxed TcIrI2 crystal, as listed in the Alexandria database.

Properties
D(E_F) = 0.801 states/eV/atom
magnetization = 0.42 μB per atom

Cell and atoms, written as CIF:
```
data_TcIrI2
_symmetry_space_group_name_H-M 'F m -3 m'
_symmetry_Int_Tables_number 225
_symmetry_space_group_name_Hall '-F 4 2 3'
_cell_length_a 6.831
_cell_length_b 6.831
_cell_length_c 6.831
_cell_angle_alpha 90.00
_cell_angle_beta 90.00
_cell_angle_gamma 90.00
loop_
_atom_site_label
_atom_site_type_symbol
_atom_site_fract_x
_atom_site_fract_y
_atom_site_fract_z
Tc1 Tc 0.000 0.000 0.000
Ir1 Ir 0.000 0.000 0.500
I1 I 0.250 0.250 0.250
```

***

--- x ---
First-principles (PBE-GGA) data for a relaxed TcIrI2 crystal, as listed in the Alexandria database.

Properties
D(E_F) = 0.788 states/eV/atom
magnetization = 0.00 μB per atom

Cell and atoms, written as CIF:
```
data_TcIrI2
_symmetry_space_group_name_H-M 'I -4 2 d'
_symmetry_Int_Tables_number 122
_symmetry_space_group_name_Hall 'I -4 2bw'
_cell_length_a 5.983
_cell_length_b 5.983
_cell_length_c 11.969
_cell_angle_alpha 90.00
_cell_angle_beta 90.00
_cell_angle_gamma 90.00
loop_
_atom_site_label
_atom_site_type_symbol
_atom_site_fract_x
_atom_site_fract_y
_atom_site_fract_z
Tc1 Tc 0.000 0.000 0.000
Ir1 Ir 0.000 0.000 0.500
I1 I 0.249 0.250 0.125
```

***

Each structure's energy above the most stable one, in kJ/mol of atoms: w 18.2; x 0.0.